KRbSeS | PBE | optimized geometry

Unit cell a=5.244 b=5.244 c=6.035 alpha=90.00 beta=90.00 gamma=120.00
Fractional coordinates of all 4 atoms:
K: 0.333 0.667 0.754
Se: 0.000 0.000 0.960
S: 0.000 0.000 0.578
Rb: 0.667 0.333 0.279

Results
As for the uncorrected formation energy: -0.92 eV/atom. The value obtained for the magnetic moment is 0.00 μB per formula unit. The calculation puts the total energy at -3.3441 eV/atom.

=====

MgMnAg2 | PBE | optimized geometry

Unit cell a=3.322 b=3.322 c=6.364 alpha=90.00 beta=90.00 gamma=90.00
Last column: magnetic moment on the atom in μB.
Fractional coordinates of all 4 atoms:
Ag: 0.000 0.000 0.989  0.01
Ag: 0.000 0.000 0.511  0.01
Mn: 0.500 0.500 0.750  3.90
Mg: 0.500 0.500 0.250  -0.01

Results
The value obtained for the magnetic moment is 4.02 μB per formula unit. The calculation puts the total energy at -4.0745 eV/atom.

=====

Ho2Sc2Ag | PBE | optimized geometry

Unit cell a=4.840 b=4.840 c=12.239 alpha=101.40 beta=101.40 gamma=90.00
Last column: magnetic moment on the atom in μB.
Fractional coordinates of all 10 atoms:
Ag: 0.500 0.500 0.000  0.04
Ag: 0.250 0.750 0.500  0.04
Ho: 0.426 0.926 0.852  0.35
Ho: 0.676 0.676 0.352  0.35
Ho: 0.074 0.574 0.148  0.35
Ho: 0.324 0.324 0.648  0.35
Sc: 0.174 0.174 0.348  0.29
Sc: 0.826 0.826 0.652  0.29
Sc: 0.924 0.424 0.848  0.29
Sc: 0.576 0.076 0.152  0.29

Results
The value obtained for the magnetic moment is 1.94 μB per formula unit. The calculation puts the total energy at -4.8682 eV/atom.

=====

PmThAgPd | PBE | optimized geometry

Unit cell a=5.197 b=5.197 c=5.197 alpha=60.00 beta=60.00 gamma=60.00
Fractional coordinates of all 4 atoms:
Pd: 0.750 0.750 0.750
Th: 0.500 0.500 0.500
Pm: 0.000 0.000 0.000
Ag: 0.250 0.250 0.250

Results
The value obtained for the magnetic moment is 0.00 μB per formula unit. The calculation puts the total energy at -5.4437 eV/atom.

=====

CsNpPdSe4 | PBE | optimized geometry

Unit cell a=7.284 b=5.735 c=10.099 alpha=90.00 beta=106.11 gamma=90.00
Last column: magnetic moment on the atom in μB.
Fractional coordinates of all 14 atoms:
Pd: 0.256 0.750 0.325  -0.20
Pd: 0.744 0.250 0.675  -0.20
Se: 0.980 0.486 0.315  -0.10
Se: 0.980 0.014 0.315  -0.10
Se: 0.495 0.750 0.191  -0.17
Se: 0.020 0.986 0.685  -0.10
Se: 0.580 0.250 0.424  -0.18
Se: 0.420 0.750 0.576  -0.18
Se: 0.505 0.250 0.809  -0.17
Se: 0.020 0.514 0.685  -0.10
Np: 0.730 0.750 0.452  3.17
Np: 0.270 0.250 0.548  3.17
Cs: 0.231 0.250 0.049  -0.01
Cs: 0.769 0.750 0.951  -0.01

Results
As for the uncorrected formation energy: -0.79 eV/atom. The value obtained for the magnetic moment is 2.23 μB per formula unit. The calculation puts the total energy at -5.4893 eV/atom.

=====

La2FeSe | PBE | optimized geometry

Unit cell a=4.730 b=3.871 c=5.912 alpha=70.89 beta=90.00 gamma=90.00
Last column: magnetic moment on the atom in μB.
Fractional coordinates of all 4 atoms:
Se: 0.000 0.729 0.417  0.00
La: 0.500 0.284 0.308  -0.09
La: 0.000 0.001 0.872  -0.09
Fe: 0.500 0.486 0.903  0.66

Results
As for the uncorrected formation energy: -0.72 eV/atom. The value obtained for the magnetic moment is 0.30 μB per formula unit. The calculation puts the total energy at -6.1696 eV/atom.

=====

NdSm3H | PBE | optimized geometry

Unit cell a=5.122 b=5.122 c=5.122 alpha=90.00 beta=90.00 gamma=90.00
Fractional coordinates of all 5 atoms:
Sm: 0.500 0.000 0.000
Sm: 0.000 0.000 0.500
Sm: 0.000 0.500 0.000
Nd: 0.500 0.500 0.500
H: 0.000 0.000 0.000

Results
The value obtained for the magnetic moment is 0.00 μB per formula unit. The calculation puts the total energy at -4.6302 eV/atom.

=====

TmTh2Mg | PBE | optimized geometry

Unit cell a=3.564 b=3.564 c=9.401 alpha=90.00 beta=90.00 gamma=90.00
Fractional coordinates of all 4 atoms:
Th: 0.000 0.000 0.989
Th: 0.500 0.500 0.257
Tm: 0.000 0.000 0.513
Mg: 0.500 0.500 0.741

Results
The offset from the most stable computed form comes out at 0.000 eV per atom. The value obtained for the magnetic moment is 0.00 μB per formula unit. The calculation puts the total energy at -5.2189 eV/atom.

=====

CaTe2Ir | PBE | optimized geometry

Unit cell a=5.995 b=5.995 c=5.995 alpha=138.79 beta=138.79 gamma=59.69
Fractional coordinates of all 4 atoms:
Te: 0.250 0.750 0.500
Te: 0.000 0.000 0.000
Ir: 0.750 0.250 0.500
Ca: 0.500 0.500 0.000

Results
As for the uncorrected formation energy: -0.13 eV/atom. The offset from the most stable computed form comes out at 0.453 eV per atom. The value obtained for the magnetic moment is 0.00 μB per formula unit. The calculation puts the total energy at -4.4179 eV/atom.

=====

Dy5YTm8 | PBE | optimized geometry

Unit cell a=8.343 b=8.343 c=8.343 alpha=110.89 beta=106.68 gamma=110.88
Fractional coordinates of all 14 atoms:
Tm: 0.342 0.261 0.423
Tm: 0.081 0.747 0.476
Tm: 0.730 0.253 0.334
Tm: 0.524 0.605 0.270
Tm: 0.666 0.395 0.919
Tm: 0.919 0.081 0.658
Tm: 0.162 0.739 0.081
Tm: 0.577 0.919 0.838
Dy: 0.865 0.901 0.190
Dy: 0.036 0.325 0.135
Dy: 0.289 0.099 0.964
Dy: 0.500 0.000 0.500
Dy: 0.810 0.675 0.711
Y: 0.250 0.500 0.750

Results
The value obtained for the magnetic moment is 0.00 μB per formula unit. The calculation puts the total energy at -4.4090 eV/atom.

=====

TlFeSi2 | PBE | optimized geometry

Unit cell a=3.757 b=3.760 c=4.963 alpha=90.00 beta=90.00 gamma=90.00
Last column: magnetic moment on the atom in μB.
Fractional coordinates of all 4 atoms:
Si: 0.000 0.000 0.000  0.01
Si: 0.500 0.500 0.000  0.01
Fe: 0.000 0.500 0.500  2.56
Tl: 0.500 0.000 0.500  -0.05

Results
As for the uncorrected formation energy: 0.72 eV/atom. The offset from the most stable computed form comes out at 0.589 eV per atom. The value obtained for the magnetic moment is 2.51 μB per formula unit. The calculation puts the total energy at -4.6975 eV/atom.

=====

Ac12Cd6Ru | PBE | optimized geometry

Unit cell a=9.066 b=9.066 c=9.066 alpha=94.06 beta=94.06 gamma=94.06
Fractional coordinates of all 19 atoms:
Ac: 0.966 0.081 0.309
Ac: 0.581 0.458 0.802
Ac: 0.458 0.802 0.581
Ac: 0.081 0.309 0.966
Ac: 0.198 0.419 0.542
Ac: 0.542 0.198 0.419
Ac: 0.691 0.034 0.919
Ac: 0.419 0.542 0.198
Ac: 0.309 0.966 0.081
Ac: 0.919 0.691 0.034
Ac: 0.034 0.919 0.691
Ac: 0.802 0.581 0.458
Cd: 0.353 0.145 0.738
Cd: 0.145 0.738 0.353
Cd: 0.262 0.647 0.855
Cd: 0.647 0.855 0.262
Cd: 0.855 0.262 0.647
Cd: 0.738 0.353 0.145
Ru: 0.000 0.000 0.000

Results
The value obtained for the magnetic moment is 0.00 μB per formula unit. The calculation puts the total energy at -3.4813 eV/atom.